# ZnHgTe2, optimized geometry, DFT PBE-GGA
# spin magnetization: 0.000 μB per cell
# formation energy without anion corrections: -0.307 eV/atom
# DOS at the Fermi energy: 0.1 states/eV per cell
# calculated total energy: -2.272 eV per atom
data_ZnHgTe2
_chemical_formula_sum 'Zn2 Hg2 Te4'
_symmetry_space_group_name_H-M 'P 1'
_symmetry_Int_Tables_number 1
_cell_length_a 10.131
_cell_length_b 4.519
_cell_length_c 6.420
_cell_angle_alpha 90.00
_cell_angle_beta 90.00
_cell_angle_gamma 63.50
loop_
_symmetry_equiv_pos_as_xyz
'x,y,z'
loop_
_atom_site_label
_atom_site_type_symbol
_atom_site_fract_x
_atom_site_fract_y
_atom_site_fract_z
_atom_site_occupancy
Te1 Te 0.568 0.784 0.056 1
Hg1 Hg 0.840 0.510 0.828 1
Te2 Te 0.314 0.537 0.596 1
Te3 Te 0.840 0.011 0.556 1
Hg2 Hg 0.567 0.284 0.328 1
Te4 Te 0.093 0.259 0.096 1
Zn1 Zn 0.086 0.766 0.328 1
Zn2 Zn 0.321 0.030 0.828 1



# Pm2NpPdO8, optimized geometry, DFT PBE-GGA
# spin magnetization: 0.997 μB per cell
# formation energy without anion corrections: -2.417 eV/atom
# DOS at the Fermi energy: 3.1 states/eV per cell
# calculated total energy: -8.026 eV per atom
data_Pm2NpPdO8
_chemical_formula_sum 'Pm2 Np1 Pd1 O8'
_symmetry_space_group_name_H-M 'P 1'
_symmetry_Int_Tables_number 1
_cell_length_a 4.185
_cell_length_b 5.341
_cell_length_c 7.686
_cell_angle_alpha 99.36
_cell_angle_beta 86.39
_cell_angle_gamma 97.41
loop_
_symmetry_equiv_pos_as_xyz
'x,y,z'
loop_
_atom_site_label
_atom_site_type_symbol
_atom_site_fract_x
_atom_site_fract_y
_atom_site_fract_z
_atom_site_occupancy
O1 O 0.575 0.776 0.011 1
O2 O 0.646 0.739 0.538 1
O3 O 0.077 0.716 0.819 1
O4 O 0.425 0.224 0.989 1
O5 O 0.033 0.815 0.245 1
Np1 Np 0.000 0.000 0.000 1
O6 O 0.354 0.261 0.462 1
Pm1 Pm 0.530 0.448 0.740 1
O7 O 0.967 0.185 0.755 1
Pm2 Pm 0.470 0.552 0.260 1
Pd1 Pd 0.000 0.000 0.500 1
O8 O 0.923 0.284 0.181 1



# Zn2FeAs, optimized geometry, DFT PBE-GGA
# ΔH_f (0 K): 28 kJ/mol of atoms
# spin magnetization: 2.357 μB per cell
# DOS at the Fermi energy: 3.2 states/eV per cell
# calculated total energy: -3.622 eV per atom
data_Zn2FeAs
_chemical_formula_sum 'Zn2 Fe1 As1'
_symmetry_space_group_name_H-M 'P 1'
_symmetry_Int_Tables_number 1
_cell_length_a 4.392
_cell_length_b 4.392
_cell_length_c 4.392
_cell_angle_alpha 60.00
_cell_angle_beta 60.00
_cell_angle_gamma 60.00
loop_
_symmetry_equiv_pos_as_xyz
'x,y,z'
loop_
_atom_site_label
_atom_site_type_symbol
_atom_site_fract_x
_atom_site_fract_y
_atom_site_fract_z
_atom_site_occupancy
Zn1 Zn 0.750 0.750 0.750 1
As1 As 0.500 0.500 0.500 1
Fe1 Fe 0.250 0.250 0.250 1
Zn2 Zn 0.000 0.000 0.000 1



# Rb2TbCrS4, optimized geometry, DFT PBE-GGA
# spin magnetization: 3.000 μB per cell
# formation energy without anion corrections: -1.171 eV/atom
# DOS at the Fermi energy: 5.3 states/eV per cell
# calculated total energy: -5.258 eV per atom
data_Rb2TbCrS4
_chemical_formula_sum 'Rb2 Tb1 Cr1 S4'
_symmetry_space_group_name_H-M 'P 1'
_symmetry_Int_Tables_number 1
_cell_length_a 6.936
_cell_length_b 6.936
_cell_length_c 6.936
_cell_angle_alpha 97.66
_cell_angle_beta 115.68
_cell_angle_gamma 115.68
loop_
_symmetry_equiv_pos_as_xyz
'x,y,z'
loop_
_atom_site_label
_atom_site_type_symbol
_atom_site_fract_x
_atom_site_fract_y
_atom_site_fract_z
_atom_site_occupancy
Cr1 Cr 0.000 0.500 0.500 1
S1 S 0.389 0.842 0.762 1
S2 S 0.080 0.238 0.627 1
S3 S 0.611 0.373 0.453 1
Tb1 Tb 0.500 0.250 0.750 1
Rb1 Rb 0.000 0.000 0.000 1
Rb2 Rb 0.500 0.750 0.250 1
S4 S 0.920 0.547 0.158 1



# Fe2ReBr, optimized geometry, DFT PBE-GGA
# spin magnetization: 5.480 μB per cell
# formation energy without anion corrections: 0.933 eV/atom
# DOS at the Fermi energy: 4.2 states/eV per cell
# calculated total energy: -6.828 eV per atom
data_Fe2ReBr
_chemical_formula_sum 'Fe2 Re1 Br1'
_symmetry_space_group_name_H-M 'P 1'
_symmetry_Int_Tables_number 1
_cell_length_a 5.257
_cell_length_b 5.257
_cell_length_c 5.257
_cell_angle_alpha 147.75
_cell_angle_beta 129.51
_cell_angle_gamma 61.19
loop_
_symmetry_equiv_pos_as_xyz
'x,y,z'
loop_
_atom_site_label
_atom_site_type_symbol
_atom_site_fract_x
_atom_site_fract_y
_atom_site_fract_z
_atom_site_occupancy
Br1 Br 0.260 0.760 0.500 1
Re1 Re 0.500 0.500 0.000 1
Fe1 Fe 0.750 0.250 0.500 1
Fe2 Fe 0.989 0.989 0.000 1



# CeMgInSn, optimized geometry, DFT PBE-GGA
# ΔH_f (0 K): -31 kJ/mol of atoms
# spin magnetization: 0.514 μB per cell
# DOS at the Fermi energy: 4.5 states/eV per cell
# calculated total energy: -3.893 eV per atom
data_CeMgInSn
_chemical_formula_sum 'Ce1 Mg1 In1 Sn1'
_symmetry_space_group_name_H-M 'P 1'
_symmetry_Int_Tables_number 1
_cell_length_a 5.266
_cell_length_b 5.266
_cell_length_c 5.266
_cell_angle_alpha 60.00
_cell_angle_beta 60.00
_cell_angle_gamma 60.00
loop_
_symmetry_equiv_pos_as_xyz
'x,y,z'
loop_
_atom_site_label
_atom_site_type_symbol
_atom_site_fract_x
_atom_site_fract_y
_atom_site_fract_z
_atom_site_occupancy
In1 In 0.750 0.750 0.750 1
Ce1 Ce 0.000 0.000 0.000 1
Mg1 Mg 0.500 0.500 0.500 1
Sn1 Sn 0.250 0.250 0.250 1



> Which of these has the lowest spin magnetization?

ZnHgTe2



> Among the records above, which one has the highest DOS at the Fermi energy?

Rb2TbCrS4